No. 1
Below is a geometry-optimized K2MnAlHg structure, with properties calculated at the PBE-GGA level.

abc: 6.691 4.936 6.691
angles: 90.00 90.00 90.00
Fractional coordinates of all 5 atoms:
K 0.000 0.000 0.500
K 0.500 0.000 0.000
Mn 0.500 0.500 0.500
Hg 0.000 0.500 0.000
Al 0.000 0.000 0.000

Values from the calculation:
* SG: P4/mmm
* DFT total energy: -11.84 eV for the cell shown
* spin magnetization: 4.96 μB/cell
* DFT formation energy: 714 meV per atom
* DOS at the Fermi energy: 3.85 states/eV/f.u.

No. 2
Below is a geometry-optimized KNaAlHg2 structure, with properties calculated at the PBE-GGA level.

abc: 5.338 5.338 5.759
angles: 90.00 90.00 90.00
Fractional coordinates of all 5 atoms:
Na 0.000 0.000 0.500
K 0.500 0.500 0.500
Hg 0.000 0.500 0.000
Hg 0.500 0.000 0.000
Al 0.000 0.000 0.000

Values from the calculation:
* SG: P4/mmm
* DFT total energy: -7.01 eV for the cell shown
* spin magnetization: 0.00 μB/cell
* DFT formation energy: -49 meV per atom
* DOS at the Fermi energy: 1.49 states/eV/f.u.

No. 3
Below is a geometry-optimized KNb2AlHg structure, with properties calculated at the PBE-GGA level.

abc: 4.939 5.807 4.939
angles: 90.00 90.00 90.00
Fractional coordinates of all 5 atoms:
K 0.000 0.500 0.000
Nb 0.000 0.000 0.500
Nb 0.500 0.000 0.000
Hg 0.500 0.500 0.500
Al 0.000 0.000 0.000

Values from the calculation:
* SG: P4/mmm
* DFT total energy: -18.71 eV for the cell shown
* spin magnetization: 2.74 μB/cell
* DFT formation energy: 1315 meV per atom
* DOS at the Fermi energy: 6.98 states/eV/f.u.

No. 4
Below is a geometry-optimized KAlHg2Pb structure, with properties calculated at the PBE-GGA level.

abc: 5.374 5.374 5.573
angles: 90.00 90.00 90.00
Fractional coordinates of all 5 atoms:
Pb 0.000 0.000 0.500
K 0.500 0.500 0.500
Hg 0.000 0.500 0.000
Hg 0.500 0.000 0.000
Al 0.000 0.000 0.000

Values from the calculation:
* SG: P4/mmm
* DFT total energy: -9.09 eV for the cell shown
* spin magnetization: 0.00 μB/cell
* DFT formation energy: 12 meV per atom
* DOS at the Fermi energy: 3.64 states/eV/f.u.

No. 5
Below is a geometry-optimized KRbAlHg2 structure, with properties calculated at the PBE-GGA level.

abc: 6.306 6.386 6.306
angles: 90.00 90.00 90.00
Fractional coordinates of all 5 atoms:
K 0.000 0.000 0.000
Hg 0.000 0.000 0.500
Hg 0.500 0.000 0.000
Rb 0.500 0.500 0.500
Al 0.000 0.500 0.000

Values from the calculation:
* SG: P4/mmm
* DFT total energy: -4.44 eV for the cell shown
* spin magnetization: 0.00 μB/cell
* DFT formation energy: 394 meV per atom
* DOS at the Fermi energy: 4.44 states/eV/f.u.

No. 6
Below is a geometry-optimized KAlHg2Ru structure, with properties calculated at the PBE-GGA level.

abc: 5.361 4.728 5.361
angles: 90.00 90.00 90.00
Fractional coordinates of all 5 atoms:
Ru 0.000 0.000 0.000
K 0.500 0.500 0.500
Hg 0.000 0.000 0.500
Hg 0.500 0.000 0.000
Al 0.000 0.500 0.000

Values from the calculation:
* SG: P4/mmm
* DFT total energy: -14.70 eV for the cell shown
* spin magnetization: 0.00 μB/cell
* DFT formation energy: 3 meV per atom
* DOS at the Fermi energy: 2.12 states/eV/f.u.

No. 7
Below is a geometry-optimized KAlHgSe2 structure, with properties calculated at the PBE-GGA level.

abc: 5.765 6.251 5.765
angles: 90.00 90.00 90.00
Fractional coordinates of all 5 atoms:
K 0.000 0.000 0.000
Hg 0.500 0.500 0.500
Se 0.000 0.000 0.500
Se 0.500 0.000 0.000
Al 0.000 0.500 0.000

Values from the calculation:
* SG: P4/mmm
* E_form (uncorrected): 722 meV per atom
* DFT total energy: -8.50 eV for the cell shown
* spin magnetization: 0.41 μB/cell
* DOS at the Fermi energy: 4.99 states/eV/f.u.

No. 8
Below is a geometry-optimized KAlHg2Se structure, with properties calculated at the PBE-GGA level.

abc: 5.335 5.335 5.268
angles: 90.00 90.00 90.00
Fractional coordinates of all 5 atoms:
K 0.500 0.500 0.500
Hg 0.000 0.500 0.000
Hg 0.500 0.000 0.000
Se 0.000 0.000 0.500
Al 0.000 0.000 0.000

Values from the calculation:
* SG: P4/mmm
* E_form (uncorrected): -344 meV per atom
* DFT total energy: -10.65 eV for the cell shown
* spin magnetization: 0.00 μB/cell
* DOS at the Fermi energy: 1.51 states/eV/f.u.

No. 9
Below is a geometry-optimized KAlHg2Te structure, with properties calculated at the PBE-GGA level.

abc: 5.342 5.342 5.747
angles: 90.00 90.00 90.00
Fractional coordinates of all 5 atoms:
K 0.500 0.500 0.500
Te 0.000 0.000 0.500
Hg 0.000 0.500 0.000
Hg 0.500 0.000 0.000
Al 0.000 0.000 0.000

Values from the calculation:
* SG: P4/mmm
* E_form (uncorrected): -296 meV per atom
* DFT total energy: -10.06 eV for the cell shown
* spin magnetization: 0.00 μB/cell
* DOS at the Fermi energy: 1.17 states/eV/f.u.

No. 10
Below is a geometry-optimized KAlHg2Te4 structure, with properties calculated at the PBE-GGA level.

abc: 7.284 7.388 7.388
angles: 78.31 60.47 60.47
Fractional coordinates of all 8 atoms:
K 0.000 0.000 0.000
Al 0.000 0.500 0.500
Hg 0.500 0.676 0.324
Hg 0.500 0.324 0.676
Te 0.613 0.524 0.843
Te 0.387 0.157 0.476
Te 0.979 0.476 0.157
Te 0.021 0.843 0.524

Values from the calculation:
* SG: I222
* E_form (uncorrected): -451 meV per atom
* DFT total energy: -21.62 eV for the cell shown
* spin magnetization: 0.00 μB/cell

No. 11
Below is a geometry-optimized KAlTl2Hg structure, with properties calculated at the PBE-GGA level.

abc: 5.638 5.638 5.255
angles: 90.00 90.00 90.00
Fractional coordinates of all 5 atoms:
K 0.500 0.500 0.500
Tl 0.000 0.500 0.000
Tl 0.500 0.000 0.000
Hg 0.000 0.000 0.500
Al 0.000 0.000 0.000

Values from the calculation:
* SG: P4/mmm
* DFT total energy: -9.65 eV for the cell shown
* spin magnetization: 0.00 μB/cell
* DFT formation energy: 44 meV per atom
* DOS at the Fermi energy: 2.56 states/eV/f.u.

No. 12
Below is a geometry-optimized KAlTlHg2 structure, with properties calculated at the PBE-GGA level.

abc: 5.348 5.348 5.587
angles: 90.00 90.00 90.00
Fractional coordinates of all 5 atoms:
K 0.500 0.500 0.500
Tl 0.000 0.000 0.500
Hg 0.000 0.500 0.000
Hg 0.500 0.000 0.000
Al 0.000 0.000 0.000

Values from the calculation:
* SG: P4/mmm
* DFT total energy: -7.93 eV for the cell shown
* spin magnetization: 0.00 μB/cell
* DFT formation energy: -25 meV per atom
* DOS at the Fermi energy: 2.25 states/eV/f.u.

No. 13
Below is a geometry-optimized KAl2VHg structure, with properties calculated at the PBE-GGA level.

abc: 5.093 6.236 5.093
angles: 90.00 90.00 90.00
Fractional coordinates of all 5 atoms:
K 0.000 0.500 0.000
Al 0.000 0.000 0.500
Al 0.500 0.000 0.000
Hg 0.500 0.500 0.500
V 0.000 0.000 0.000

Values from the calculation:
* SG: P4/mmm
* DFT total energy: -14.27 eV for the cell shown
* spin magnetization: 4.23 μB/cell
* DFT formation energy: 747 meV per atom
* DOS at the Fermi energy: 3.78 states/eV/f.u.

No. 14
Below is a geometry-optimized LaAlHg2 structure, with properties calculated at the PBE-GGA level.

abc: 3.671 3.671 7.395
angles: 90.00 90.00 90.00
Fractional coordinates of all 4 atoms:
Al 0.500 0.500 0.796
Hg 0.000 0.000 0.973
Hg 0.500 0.500 0.223
La 0.000 0.000 0.508

Values from the calculation:
* SG: P4mm
* DFT total energy: -10.11 eV for the cell shown
* spin magnetization: 0.00 μB/cell
* DFT formation energy: -210 meV per atom
* DOS at the Fermi energy: 2.67 states/eV/f.u.

No. 15
Below is a geometry-optimized La9Al2Hg structure, with properties calculated at the PBE-GGA level.

abc: 4.989 4.989 14.984
angles: 90.00 90.00 90.00
Fractional coordinates of all 12 atoms:
La 0.500 0.500 0.000
La 0.500 0.500 0.335
La 0.500 0.500 0.665
La 0.500 0.000 0.171
La 0.500 0.000 0.500
La 0.500 0.000 0.829
La 0.000 0.500 0.171
La 0.000 0.500 0.500
La 0.000 0.500 0.829
Al 0.000 0.000 0.333
Al 0.000 0.000 0.667
Hg 0.000 0.000 0.000

Values from the calculation:
* SG: P4/mmm
* DFT total energy: -54.49 eV for the cell shown
* spin magnetization: 0.00 μB/cell
* DFT formation energy: -196 meV per atom
* DOS at the Fermi energy: 16.09 states/eV/f.u.

No. 16
Below is a geometry-optimized LaAlHg4 structure, with properties calculated at the PBE-GGA level.

abc: 6.031 6.031 6.031
angles: 60.00 60.00 60.00
Fractional coordinates of all 6 atoms:
La 0.750 0.750 0.750
Al 0.000 0.000 0.000
Hg 0.876 0.375 0.375
Hg 0.375 0.375 0.876
Hg 0.375 0.876 0.375
Hg 0.375 0.375 0.375

Values from the calculation:
* SG: F-43m
* DFT total energy: -10.16 eV for the cell shown
* spin magnetization: 0.00 μB/cell
* DFT formation energy: -46 meV per atom
* DOS at the Fermi energy: 2.17 states/eV/f.u.

No. 17
Below is a geometry-optimized La3Al9Hg2 structure, with properties calculated at the PBE-GGA level.

abc: 4.452 8.711 8.711
angles: 73.26 75.19 75.19
Fractional coordinates of all 14 atoms:
La 0.000 0.000 0.000
La 0.683 0.317 0.317
La 0.317 0.683 0.683
Al 0.000 0.500 0.500
Al 0.666 0.960 0.707
Al 0.334 0.040 0.293
Al 0.666 0.707 0.960
Al 0.334 0.293 0.040
Al 0.856 0.872 0.416
Al 0.144 0.128 0.584
Al 0.856 0.416 0.872
Al 0.144 0.584 0.128
Hg 0.500 0.280 0.720
Hg 0.500 0.720 0.280

Values from the calculation:
* SG: Immm
* DFT total energy: -54.26 eV for the cell shown
* spin magnetization: 0.00 μB/cell
* DFT formation energy: -371 meV per atom
* DOS at the Fermi energy: 4.66 states/eV/f.u.

No. 18
Below is a geometry-optimized La4AlHg structure, with properties calculated at the PBE-GGA level.

abc: 6.454 6.454 6.454
angles: 60.00 60.00 60.00
Fractional coordinates of all 6 atoms:
La 0.870 0.377 0.377
La 0.377 0.377 0.870
La 0.377 0.870 0.377
La 0.377 0.377 0.377
Al 0.750 0.750 0.750
Hg 0.000 0.000 0.000

Values from the calculation:
* SG: F-43m
* DFT total energy: -22.35 eV for the cell shown
* spin magnetization: 0.01 μB/cell
* DFT formation energy: 234 meV per atom
* DOS at the Fermi energy: 8.67 states/eV/f.u.
* energy relative to the lowest polymorph listed for this composition: 33.82 kJ/mol of atoms

No. 19
Below is a geometry-optimized LaAlHg2 structure, with properties calculated at the PBE-GGA level.

abc: 3.628 3.624 7.463
angles: 90.00 90.00 90.00
Fractional coordinates of all 4 atoms:
Al 0.500 0.500 0.750
Hg 0.000 0.000 0.962
Hg 0.000 0.000 0.538
La 0.500 0.500 0.250

Values from the calculation:
* SG: P4/mmm
* DFT total energy: -10.23 eV for the cell shown
* spin magnetization: 0.01 μB/cell
* DFT formation energy: -238 meV per atom
* DOS at the Fermi energy: 2.96 states/eV/f.u.

No. 20
Below is a geometry-optimized LaAlHg2 structure, with properties calculated at the PBE-GGA level.

abc: 4.642 4.642 6.246
angles: 68.22 68.22 59.97
Fractional coordinates of all 4 atoms:
La 0.507 0.507 0.479
Al 0.298 0.298 0.105
Hg 0.963 0.963 0.110
Hg 0.732 0.732 0.806

Values from the calculation:
* SG: R3m
* DFT total energy: -10.54 eV for the cell shown
* spin magnetization: 0.00 μB/cell
* DFT formation energy: -317 meV per atom
* DOS at the Fermi energy: 2.75 states/eV/f.u.

No. 21
Below is a geometry-optimized LaAlHg2 structure, with properties calculated at the PBE-GGA level.

abc: 4.869 4.869 10.221
angles: 76.22 76.22 90.00
Fractional coordinates of all 8 atoms:
Al 0.500 0.500 0.000
Al 0.250 0.750 0.500
Hg 0.544 0.125 0.250
Hg 0.206 0.625 0.250
Hg 0.375 0.456 0.750
Hg 0.875 0.794 0.750
La 0.000 0.000 0.000
La 0.750 0.250 0.500

Values from the calculation:
* SG: I-42d
* DFT total energy: -19.76 eV for the cell shown
* spin magnetization: 0.00 μB/cell
* DFT formation energy: -152 meV per atom
* DOS at the Fermi energy: 2.34 states/eV/f.u.

No. 22
Below is a geometry-optimized La4Al2Hg structure, with properties calculated at the PBE-GGA level.

abc: 5.393 5.393 9.180
angles: 72.92 72.92 60.00
Fractional coordinates of all 7 atoms:
Hg 0.000 0.000 0.000
Al 0.747 0.747 0.758
Al 0.253 0.253 0.242
La 0.870 0.870 0.389
La 0.130 0.130 0.611
La 0.618 0.618 0.146
La 0.382 0.382 0.854

Values from the calculation:
* SG: R-3m
* DFT total energy: -29.44 eV for the cell shown
* spin magnetization: 0.00 μB/cell
* DFT formation energy: -278 meV per atom
* DOS at the Fermi energy: 7.92 states/eV/f.u.

No. 23
Below is a geometry-optimized LaAl2Hg2 structure, with properties calculated at the PBE-GGA level.

abc: 4.558 4.558 6.433
angles: 69.25 69.25 90.00
Fractional coordinates of all 5 atoms:
Al 0.386 0.386 0.227
Al 0.614 0.614 0.773
Hg 0.750 0.250 0.500
Hg 0.250 0.750 0.500
La 0.000 0.000 0.000

Values from the calculation:
* SG: I4/mmm
* DFT total energy: -14.89 eV for the cell shown
* spin magnetization: 0.00 μB/cell
* DFT formation energy: -374 meV per atom
* DOS at the Fermi energy: 1.69 states/eV/f.u.
* energy relative to the lowest polymorph listed for this composition: 0.65 kJ/mol of atoms

No. 24
Below is a geometry-optimized LaAl4Hg structure, with properties calculated at the PBE-GGA level.

abc: 5.679 5.679 5.679
angles: 60.00 60.00 60.00
Fractional coordinates of all 6 atoms:
La 0.000 0.000 0.000
Al 0.876 0.375 0.375
Al 0.375 0.375 0.876
Al 0.375 0.876 0.375
Al 0.375 0.375 0.375
Hg 0.750 0.750 0.750

Values from the calculation:
* SG: F-43m
* DFT total energy: -21.12 eV for the cell shown
* spin magnetization: 0.00 μB/cell
* DFT formation energy: -154 meV per atom
* DOS at the Fermi energy: 3.79 states/eV/f.u.

No. 25
Below is a geometry-optimized LaAlHg2 structure, with properties calculated at the PBE-GGA level.

abc: 6.115 6.176 3.271
angles: 78.20 83.00 117.57
Fractional coordinates of all 4 atoms:
Al 0.500 0.500 0.000
Hg 0.000 0.000 0.000
Hg 0.500 0.000 0.500
La 0.000 0.500 0.500

Values from the calculation:
* SG: C2/m
* DFT total energy: -9.57 eV for the cell shown
* spin magnetization: 0.38 μB/cell
* DFT formation energy: -74 meV per atom
* DOS at the Fermi energy: 3.21 states/eV/f.u.

No. 26
Below is a geometry-optimized LaAl2Hg2 structure, with properties calculated at the PBE-GGA level.

abc: 8.340 8.340 3.279
angles: 90.00 90.00 90.00
Fractional coordinates of all 10 atoms:
Al 0.374 0.874 0.000
Al 0.874 0.626 0.000
Al 0.626 0.126 0.000
Al 0.126 0.374 0.000
Hg 0.168 0.668 0.500
Hg 0.668 0.832 0.500
Hg 0.832 0.332 0.500
Hg 0.332 0.168 0.500
La 0.000 0.000 0.000
La 0.500 0.500 0.000

Values from the calculation:
* SG: P4/mbm
* DFT total energy: -27.25 eV for the cell shown
* spin magnetization: 0.78 μB/cell
* DFT formation energy: -122 meV per atom
* DOS at the Fermi energy: 2.72 states/eV/f.u.
* energy relative to the lowest polymorph listed for this composition: 24.98 kJ/mol of atoms

No. 27
Below is a geometry-optimized La2Al5Hg3 structure, with properties calculated at the PBE-GGA level.

abc: 4.453 4.453 11.550
angles: 90.00 90.00 90.00
Fractional coordinates of all 10 atoms:
La 0.500 0.000 0.232
La 0.000 0.500 0.768
Al 0.500 0.500 0.000
Al 0.000 0.000 0.000
Al 0.500 0.000 0.873
Al 0.000 0.500 0.127
Al 0.500 0.500 0.500
Hg 0.500 0.000 0.651
Hg 0.000 0.500 0.349
Hg 0.000 0.000 0.500

Values from the calculation:
* SG: P-4m2
* DFT total energy: -32.84 eV for the cell shown
* spin magnetization: 0.00 μB/cell
* DFT formation energy: -337 meV per atom
* DOS at the Fermi energy: 2.80 states/eV/f.u.